(1)
# Y2ThF11

A geometry-optimized Y2ThF11 structure (GGA-PBE, Alexandria).

abc: 8.395 10.361 11.401
angles: 90.00 90.00 90.00
Space group Ibam (No. 72)
Inequivalent atoms, fractional coordinates:
Y (0.159, 0.190, 0.000) [8 per cell]
Th (0.000, 0.500, 0.250) [4 per cell]
F (0.000, 0.000, 0.000) [4 per cell]
F (0.101, 0.328, 0.140) [16 per cell]
F (0.110, 0.192, 0.500) [8 per cell]
F (0.209, 0.421, 0.367) [16 per cell]

Electronic total energy (eV per atom): -6.7189
Uncorrected formation energy (meV per atom): -3795

=====

(2)
# ThZnF6

A geometry-optimized ThZnF6 structure (GGA-PBE, Alexandria).

abc: 5.515 8.008 5.370
angles: 90.00 99.92 90.00
Space group C2/m (No. 12)
Inequivalent atoms, fractional coordinates:
Th (0.000, 0.000, 0.000) [2 per cell]
Zn (0.000, 0.500, 0.500) [2 per cell]
F (0.195, 0.338, 0.774) [8 per cell]
F (0.215, 0.000, 0.685) [4 per cell]

Electronic total energy (eV per atom): -5.8372
Uncorrected formation energy (meV per atom): -3347

=====

(3)
# ThZnF

A geometry-optimized ThZnF structure (GGA-PBE, Alexandria).

abc: 13.873 3.579 6.194
angles: 90.00 90.00 90.00
Space group Amm2 (No. 38)
Inequivalent atoms, fractional coordinates:
Th (0.168, 0.000, 0.000) [4 per cell]
Zn (0.000, 0.000, 0.334) [2 per cell]
Zn (0.500, 0.000, 0.997) [2 per cell]
F (0.275, 0.000, 0.333) [4 per cell]

Electronic total energy (eV per atom): -4.7848
Uncorrected formation energy (meV per atom): -1263

=====

(4)
# TiF

A geometry-optimized TiF structure (GGA-PBE, Alexandria).

abc: 6.726 6.726 6.726
angles: 90.00 90.00 90.00
Space group I-43m (No. 217)
Inequivalent atoms, fractional coordinates:
Ti (0.141, 0.141, 0.859) [8 per cell]
F (0.176, 0.176, 0.176) [8 per cell]

Electronic total energy (eV per atom): -6.0558
Energy above the most stable polymorph in this dataset (meV per atom): 1115.1
Uncorrected formation energy (meV per atom): -1173

=====

Q: uncorrected formation energy of number 1 (Y2ThF11)?
A: -3795 meV per atom

=====

What did the first record say?
# Y2ThF11

A geometry-optimized Y2ThF11 structure (GGA-PBE, Alexandria).

abc: 8.395 10.361 11.401
angles: 90.00 90.00 90.00
Space group Ibam (No. 72)
Inequivalent atoms, fractional coordinates:
Y (0.159, 0.190, 0.000) [8 per cell]
Th (0.000, 0.500, 0.250) [4 per cell]
F (0.000, 0.000, 0.000) [4 per cell]
F (0.101, 0.328, 0.140) [16 per cell]
F (0.110, 0.192, 0.500) [8 per cell]
F (0.209, 0.421, 0.367) [16 per cell]

Electronic total energy (eV per atom): -6.7189
Uncorrected formation energy (meV per atom): -3795

=====

Please write out number 2 again, unchanged.
# ThZnF6

A geometry-optimized ThZnF6 structure (GGA-PBE, Alexandria).

abc: 5.515 8.008 5.370
angles: 90.00 99.92 90.00
Space group C2/m (No. 12)
Inequivalent atoms, fractional coordinates:
Th (0.000, 0.000, 0.000) [2 per cell]
Zn (0.000, 0.500, 0.500) [2 per cell]
F (0.195, 0.338, 0.774) [8 per cell]
F (0.215, 0.000, 0.685) [4 per cell]

Electronic total energy (eV per atom): -5.8372
Uncorrected formation energy (meV per atom): -3347

=====

Q: Among the records above, which one has the highest uncorrected formation energy?
A: TiF